Record 1
KHf3Cd | the Alexandria database | GGA-PBEsol | optimized geometry; magnetic moment = 0.8 Bohr magnetons per cell; space-group type = Pm-3m; E_form = 2022 meV per atom
1.0
4.830 0.000 0.000
0.000 4.830 0.000
0.000 0.000 4.830
K Hf Cd
1 3 1
Direct
0.000 0.000 0.000 K
0.000 0.000 0.500 Hf
0.000 0.500 0.000 Hf
0.500 0.000 0.000 Hf
0.500 0.500 0.500 Cd



Record 2
KHfCd3 | the Alexandria database | GGA-PBEsol | optimized geometry; magnetic moment = 1.0 Bohr magnetons per cell; space-group type = Pm-3m; E_form = 606 meV per atom
1.0
5.576 0.000 0.000
0.000 5.576 0.000
0.000 0.000 5.576
K Hf Cd
1 1 3
Direct
0.000 0.000 0.000 K
0.500 0.500 0.500 Hf
0.000 0.500 0.500 Cd
0.500 0.000 0.500 Cd
0.500 0.500 0.000 Cd



Record 3
K2Hf2Cd | the Alexandria database | GGA-PBEsol | optimized geometry; magnetic moment = 0.0 Bohr magnetons per cell; space-group type = I4/mmm; E_form = 710 meV per atom
1.0
-1.939 1.939 11.648
1.939 -1.939 11.648
1.939 1.939 -11.648
K Hf Cd
2 2 1
Direct
0.106 0.106 0.000 K
0.894 0.894 0.000 K
0.250 0.750 0.500 Hf
0.750 0.250 0.500 Hf
0.500 0.500 0.000 Cd



Record 4
LaHf3Cd | the Alexandria database | GGA-PBEsol | optimized geometry; magnetic moment = 1.9 Bohr magnetons per cell; space-group type = Pm-3m; E_form = 1040 meV per atom
1.0
5.217 0.000 0.000
0.000 5.217 0.000
0.000 0.000 5.217
La Hf Cd
1 3 1
Direct
0.000 0.000 0.000 La
0.000 0.500 0.500 Hf
0.500 0.000 0.500 Hf
0.500 0.500 0.000 Hf
0.500 0.500 0.500 Cd



Which formula does entry 2 have? KHfCd3



Look up the E_form of the first one. 2022 meV per atom



Look up the magnetic moment of the third one. 0.0 Bohr magnetons per cell